Below is Sr3B6Rh8 after structural relaxation, with properties calculated at the PBE level.

It has space group Fmmm (No. 69), with a = 5.615 Å, b = 10.034 Å, c = 17.210 Å, α = 90.00°, β = 90.00° and γ = 90.00°. The distinct sites, in fractional coordinates, are Sr at (0.000, 0.000, 0.000), Sr at (0.000, 0.000, 0.184), B at (0.000, 0.165, 0.331), B at (0.000, 0.165, 0.500), Rh at (0.000, 0.000, 0.413), Rh at (0.250, 0.250, 0.084) and Rh at (0.250, 0.250, 0.250).

The calculation puts the size of the total moment at 0.00 μB per atom. The value obtained for the formation energy is -9.61 eV per formula unit.

---

Below is La2Tb2Pr2Ho after structural relaxation, with properties calculated at the PBE level.

It has space group C2/m (No. 12), with a = 11.514 Å, b = 5.174 Å, c = 8.208 Å, α = 90.00°, β = 98.27° and γ = 90.00°. The distinct sites, in fractional coordinates, are La at (0.142, 0.000, 0.425), Tb at (0.070, 0.500, 0.716), Pr at (0.215, 0.500, 0.141) and Ho at (0.000, 0.000, 0.000).

The calculation puts the size of the total moment at 0.00 μB per atom. The value obtained for the formation energy is 0.16 eV per formula unit.

---

Below is Ni2SbBr after structural relaxation, with properties calculated at the PBE level.

It has space group Pmmm (No. 47), with a = 3.276 Å, b = 3.865 Å, c = 6.015 Å, α = 90.00°, β = 90.00° and γ = 90.00°. The distinct sites, in fractional coordinates, are Ni at (0.000, 0.000, 0.000), Ni at (0.500, 0.000, 0.500), Sb at (0.000, 0.500, 0.500) and Br at (0.500, 0.500, 0.000).

The calculation puts the size of the total moment at 0.01 μB per atom. Its uncorrected formation energy is 0.4101 eV per atom. For the relative energy among the computed polymorphs, the calculation gives 436 meV per atom.

---

Below is BaScBe2 after structural relaxation, with properties calculated at the PBE level.

It has space group R-3m (No. 166, hexagonal axes), with a = 3.6206 Å, b = 3.6206 Å, c = 25.3579 Å, α = 90.00°, β = 90.00° and γ = 120.00°. The distinct sites, in fractional coordinates, are Ba at (0.0000, 0.0000, 0.0000), Sc at (0.0000, 0.0000, 0.5000) and Be at (0.0000, 0.0000, 0.2350).

The calculation puts the size of the total moment at 0.00 μB per atom. The value obtained for the formation energy is 2.92 eV per formula unit. For the relative energy among the computed polymorphs, the calculation gives 488 meV per atom.

---

Below is NaP2HO6 after structural relaxation, with properties calculated at the PBE level.

It has space group C2/c (No. 15), with a = 11.082 Å, b = 11.526 Å, c = 4.717 Å, α = 90.00°, β = 109.23° and γ = 90.00°. The distinct sites, in fractional coordinates, are Na at (0.000, 0.188, 0.250), P at (0.188, 0.421, 0.676), H at (0.000, 0.335, 0.750), O at (0.087, 0.327, 0.653), O at (0.150, 0.468, 0.334) and O at (0.176, 0.112, 0.196).

The calculation puts the size of the total moment at 0.00 μB per atom. The value obtained for the total DFT energy (no corrections) is -260.30 eV/cell.

---

Below is NaTiAl after structural relaxation, with properties calculated at the PBE level.

It has space group Pnma (No. 62), with a = 4.820 Å, b = 4.915 Å, c = 11.690 Å, α = 90.00°, β = 90.00° and γ = 90.00°. The distinct sites, in fractional coordinates, are Na at (0.229, 0.250, 0.021), Ti at (0.044, 0.250, 0.740) and Al at (0.225, 0.250, 0.302).

The calculation puts the size of the total moment at 0.04 μB per atom. The value obtained for the formation energy is 0.76 eV per formula unit. For the relative energy among the computed polymorphs, the calculation gives 295 meV per atom.

---

Below is PmSc2Al6 after structural relaxation, with properties calculated at the PBE level.

It has space group P6/mmm (No. 191), with a = 7.8378 Å, b = 7.8378 Å, c = 3.3453 Å, α = 90.00°, β = 90.00° and γ = 120.00°. The distinct sites, in fractional coordinates, are Pm at (0.0000, 0.0000, 0.0000), Sc at (0.3333, 0.6667, 0.0000) and Al at (0.0000, 0.3378, 0.5000).

The calculation puts the size of the total moment at 0.00 μB per atom. The value obtained for the formation energy is -3.99 eV per formula unit.

---

Below is Ce2BeAs4Rh3 after structural relaxation, with properties calculated at the PBE level.

It has space group P-4m2 (No. 115), with a = 4.267 Å, b = 4.267 Å, c = 9.935 Å, α = 90.00°, β = 90.00° and γ = 90.00°. The distinct sites, in fractional coordinates, are Ce at (0.000, 0.500, 0.249), Be at (0.000, 0.000, 0.500), As at (0.000, 0.000, 0.000), As at (0.000, 0.500, 0.631), As at (0.500, 0.500, 0.000), Rh at (0.000, 0.500, 0.877) and Rh at (0.500, 0.500, 0.500).

The calculation puts the size of the total moment at 0.08 μB per atom. The value obtained for the formation energy is -7.97 eV per formula unit.

---

Below is In5Sn5Hg2 after structural relaxation, with properties calculated at the PBE level.

It has space group C2/m (No. 12), with a = 12.764 Å, b = 5.050 Å, c = 11.064 Å, α = 90.00°, β = 114.22° and γ = 90.00°. The distinct sites, in fractional coordinates, are In at (0.000, 0.000, 0.000), In at (0.163, 0.000, 0.499), In at (0.248, 0.500, 0.751), Sn at (0.000, 0.500, 0.500), Sn at (0.079, 0.500, 0.249), Sn at (0.172, 0.500, 0.008) and Hg at (0.080, 0.000, 0.748).

The calculation puts the size of the total moment at 0.00 μB per atom. The value obtained for the formation energy is 0.38 eV per formula unit.

---

Below is CrCdSe2 after structural relaxation, with properties calculated at the PBE level.

It has space group P4/mmm (No. 123), with a = 2.980 Å, b = 2.980 Å, c = 9.350 Å, α = 90.00°, β = 90.00° and γ = 90.00°. The distinct sites, in fractional coordinates, are Cr at (0.000, 0.000, 0.000), Cd at (0.000, 0.000, 0.500) and Se at (0.500, 0.500, 0.159).

The calculation puts the size of the total moment at 0.00 μB per atom. Its uncorrected formation energy is -0.0687 eV per atom.

---

Below is Na3CdHg6 after structural relaxation, with properties calculated at the PBE level.

It has space group Cmc2_1 (No. 36), with a = 11.596 Å, b = 17.733 Å, c = 5.240 Å, α = 90.00°, β = 90.00° and γ = 90.00°. The distinct sites, in fractional coordinates, are Na at (0.000, 0.107, 0.000), Na at (0.167, 0.393, 0.557), Cd at (0.000, 0.216, 0.489), Hg at (0.000, 0.294, 0.989), Hg at (0.000, 0.458, 0.066), Hg at (0.153, 0.046, 0.512) and Hg at (0.248, 0.205, 0.578).

The calculation puts the size of the total moment at 0.00 μB per atom. The value obtained for the formation energy is -1.77 eV per formula unit. For the relative energy among the computed polymorphs, the calculation gives 16 meV per atom.

---

Below is SrMgZn2Pd after structural relaxation, with properties calculated at the PBE level.

It has space group P4/mmm (No. 123), with a = 4.962 Å, b = 4.962 Å, c = 4.928 Å, α = 90.00°, β = 90.00° and γ = 90.00°. The distinct sites, in fractional coordinates, are Sr at (0.000, 0.000, 0.000), Mg at (0.500, 0.500, 0.000), Zn at (0.000, 0.500, 0.500) and Pd at (0.500, 0.500, 0.500).

The calculation puts the size of the total moment at 0.00 μB per atom. The value obtained for the formation energy is -1.39 eV per formula unit. For the relative energy among the computed polymorphs, the calculation gives 119 meV per atom.

---

Below is Ga2AuSe2 after structural relaxation, with properties calculated at the PBE level.

It has space group P4/mbm (No. 127), with a = 7.755 Å, b = 7.755 Å, c = 3.786 Å, α = 90.00°, β = 90.00° and γ = 90.00°. The distinct sites, in fractional coordinates, are Ga at (0.118, 0.382, 0.000), Au at (0.000, 0.000, 0.500) and Se at (0.225, 0.725, 0.500).

The calculation puts the size of the total moment at 0.00 μB per atom. Its uncorrected formation energy is -0.0534 eV per atom. For the relative energy among the computed polymorphs, the calculation gives 0 meV per atom.

---

Below is Tl2InNi after structural relaxation, with properties calculated at the PBE level.

It has space group P4mm (No. 99), with a = 3.224 Å, b = 3.224 Å, c = 9.174 Å, α = 90.00°, β = 90.00° and γ = 90.00°. The distinct sites, in fractional coordinates, are Tl at (0.000, 0.000, 0.000), Tl at (0.500, 0.500, 0.337), In at (0.000, 0.000, 0.636) and Ni at (0.500, 0.500, 0.792).

The calculation puts the size of the total moment at 0.00 μB per atom. The value obtained for the formation energy is 0.44 eV per formula unit.

---

Below is SrPmGe after structural relaxation, with properties calculated at the PBE level.

It has space group C2/m (No. 12), with a = 7.613 Å, b = 15.084 Å, c = 3.955 Å, α = 90.00°, β = 120.02° and γ = 90.00°. The distinct sites, in fractional coordinates, are Sr at (0.000, 0.204, 0.000), Pm at (0.227, 0.500, 0.108) and Ge at (0.000, 0.368, 0.500).

The calculation puts the size of the total moment at 0.00 μB per atom. The value obtained for the formation energy is -1.20 eV per formula unit. For the relative energy among the computed polymorphs, the calculation gives 27 meV per atom.

---

Below is CeGa2Tc2B after structural relaxation, with properties calculated at the PBE level.

It has space group P4/mmm (No. 123), with a = 4.249 Å, b = 4.249 Å, c = 5.497 Å, α = 90.00°, β = 90.00° and γ = 90.00°. The distinct sites, in fractional coordinates, are Ce at (0.000, 0.000, 0.000), Ga at (0.500, 0.500, 0.228), Tc at (0.000, 0.500, 0.500) and B at (0.000, 0.000, 0.500).

The calculation puts the size of the total moment at 0.00 μB per atom. The value obtained for the formation energy is -2.91 eV per formula unit.

---

Below is PdPbS2Cl after structural relaxation, with properties calculated at the PBE level.

It has space group P4/mmm (No. 123), with a = 4.833 Å, b = 4.833 Å, c = 5.013 Å, α = 90.00°, β = 90.00° and γ = 90.00°. The distinct sites, in fractional coordinates, are Pd at (0.000, 0.000, 0.000), Pb at (0.500, 0.500, 0.500), S at (0.000, 0.500, 0.000) and Cl at (0.000, 0.000, 0.500).

The calculation puts the size of the total moment at 0.00 μB per atom. Its uncorrected formation energy is -0.1472 eV per atom. For the relative energy among the computed polymorphs, the calculation gives 0 meV per atom.

---

Below is ZnTe2Ir after structural relaxation, with properties calculated at the PBE level.

It has space group Pmm2 (No. 25), with a = 3.278 Å, b = 3.667 Å, c = 7.546 Å, α = 90.00°, β = 90.00° and γ = 90.00°. The distinct sites, in fractional coordinates, are Zn at (0.000, 0.000, 0.000), Te at (0.000, 0.000, 0.364), Te at (0.500, 0.500, 0.808) and Ir at (0.500, 0.500, 0.186).

The calculation puts the size of the total moment at 0.00 μB per atom. Its uncorrected formation energy is 0.1282 eV per atom.

---

Below is DyTmLu2 after structural relaxation, with properties calculated at the PBE level.

It has space group P4/mmm (No. 123), with a = 3.482 Å, b = 3.482 Å, c = 9.841 Å, α = 90.00°, β = 90.00° and γ = 90.00°. The distinct sites, in fractional coordinates, are Dy at (0.000, 0.000, 0.000), Tm at (0.000, 0.000, 0.500) and Lu at (0.500, 0.500, 0.252).

The calculation puts the size of the total moment at 0.00 μB per atom. The value obtained for the formation energy is 0.12 eV per formula unit. For the relative energy among the computed polymorphs, the calculation gives 0 meV per atom.

---

Below is SnBiMoPd2 after structural relaxation, with properties calculated at the PBE level.

It has space group P4/mmm (No. 123), with a = 4.913 Å, b = 4.913 Å, c = 5.169 Å, α = 90.00°, β = 90.00° and γ = 90.00°. The distinct sites, in fractional coordinates, are Sn at (0.000, 0.000, 0.000), Bi at (0.500, 0.500, 0.500), Mo at (0.000, 0.000, 0.500) and Pd at (0.000, 0.500, 0.000).

The calculation puts the size of the total moment at 0.41 μB per atom. The value obtained for the formation energy is 4.02 eV per formula unit.